Entry 1:
! PBE Ti7Zn2In3, optimized geometry; values from VASP
&SYSTEM
  ibrav = 0, nat = 12, ntyp = 3
/
ATOMIC_SPECIES
Ti 47.87 Ti.upf
Zn 65.41 Zn.upf
In 114.82 In.upf
CELL_PARAMETERS angstrom
2.356 -15.145 0.000
2.356 15.145 0.000
0.000 0.000 3.078
ATOMIC_POSITIONS angstrom
Ti 0.000 0.000 0.000
Ti 2.356 12.913 1.539
Ti 2.356 7.989 0.000
Ti 2.356 2.599 0.000
Ti 2.356 -2.599 0.000
Ti 2.356 -7.989 0.000
Ti 2.356 -12.913 1.539
Zn 2.356 10.698 0.000
Zn 2.356 -10.698 0.000
In 2.356 5.432 1.539
In 2.356 0.000 1.539
In 2.356 -5.432 1.539
! E_tot ... -5.44 eV per atom
! N(E_F) ... 13.52 states/eV per cell
! SG ... Cmmm (65)


Entry 2:
! PBE Pu2Ag5Hg3, optimized geometry; values from VASP
&SYSTEM
  ibrav = 0, nat = 20, ntyp = 3
/
ATOMIC_SPECIES
Pu 244.00 Pu.upf
Ag 107.87 Ag.upf
Hg 200.59 Hg.upf
CELL_PARAMETERS angstrom
-5.894 6.712 2.963
5.894 -6.712 2.963
5.894 6.712 -2.963
ATOMIC_POSITIONS angstrom
Pu 1.449 3.172 0.000
Pu 7.343 3.540 0.000
Pu -1.449 3.172 2.963
Pu 4.446 3.540 2.963
Ag 4.278 -4.780 2.963
Ag 3.017 0.000 1.482
Ag 5.894 0.000 1.482
Ag 8.771 0.000 1.482
Ag 4.278 4.780 0.000
Ag 1.616 1.933 2.963
Ag -2.877 6.712 1.482
Ag 0.000 6.712 1.482
Ag 2.877 6.712 1.482
Ag 1.616 11.492 0.000
Hg 4.488 2.008 0.000
Hg 0.000 0.000 1.482
Hg 4.488 -2.008 2.963
Hg 1.406 8.720 0.000
Hg 0.000 0.000 4.445
Hg 1.406 4.704 2.963
! E_tot ... -4.32 eV per atom
! N(E_F) ... 54.94 states/eV per cell
! SG ... Ibam (72)


Entry 3:
! PBE GaFe2Rh2, optimized geometry; values from VASP
&SYSTEM
  ibrav = 0, nat = 10, ntyp = 3
/
ATOMIC_SPECIES
Ga 69.72 Ga.upf
Fe 55.84 Fe.upf
Rh 102.91 Rh.upf
CELL_PARAMETERS angstrom
7.078 0.000 0.000
0.000 7.078 0.000
0.000 0.000 2.905
ATOMIC_POSITIONS angstrom
Ga 0.000 0.000 0.000
Ga 3.539 3.539 0.000
Fe 1.115 2.424 1.452
Fe 2.424 5.963 1.452
Fe 4.654 1.115 1.452
Fe 5.963 4.654 1.452
Rh 0.992 4.531 0.000
Rh 2.547 0.992 0.000
Rh 4.531 6.086 0.000
Rh 6.086 2.547 0.000
! E_tot ... -6.92 eV per atom
! N(E_F) ... 5.72 states/eV per cell
! SG ... P4/mbm (127)


Entry 4:
! PBE AlGa3Os, optimized geometry; values from VASP
&SYSTEM
  ibrav = 0, nat = 5, ntyp = 3
/
ATOMIC_SPECIES
Al 26.98 Al.upf
Ga 69.72 Ga.upf
Os 190.23 Os.upf
CELL_PARAMETERS angstrom
4.762 0.000 0.000
0.000 4.762 0.000
0.000 0.000 4.762
ATOMIC_POSITIONS angstrom
Al 0.000 0.000 0.000
Ga 0.000 0.000 2.381
Ga 0.000 2.381 0.000
Ga 2.381 0.000 0.000
Os 2.381 2.381 2.381
! E_tot ... -3.50 eV per atom
! N(E_F) ... 5.33 states/eV per cell
! SG ... Pm-3m (221)


Entry 5:
! PBE ZrFe2, optimized geometry; values from VASP
&SYSTEM
  ibrav = 0, nat = 12, ntyp = 2
/
ATOMIC_SPECIES
Zr 91.22 Zr.upf
Fe 55.84 Fe.upf
CELL_PARAMETERS angstrom
5.209 0.000 0.000
0.000 4.474 0.000
0.000 0.000 7.679
ATOMIC_POSITIONS angstrom
Zr 0.930 1.118 0.739
Zr 1.674 3.355 4.578
Zr 3.535 1.118 3.101
Zr 4.279 3.355 6.940
Fe 0.064 1.118 5.647
Fe 0.896 1.118 3.387
Fe 1.709 3.355 7.227
Fe 2.540 3.355 1.808
Fe 2.669 1.118 5.871
Fe 3.501 1.118 0.452
Fe 4.313 3.355 4.292
Fe 5.145 3.355 2.032
! E_tot ... -8.51 eV per atom
! N(E_F) ... 11.70 states/eV per cell
! SG ... Pnma (62)


Entry 6:
! PBE RbNa2AgHg, optimized geometry; values from VASP
&SYSTEM
  ibrav = 0, nat = 5, ntyp = 4
/
ATOMIC_SPECIES
Rb 85.47 Rb.upf
Na 22.99 Na.upf
Ag 107.87 Ag.upf
Hg 200.59 Hg.upf
CELL_PARAMETERS angstrom
5.820 0.000 0.000
0.000 5.820 0.000
0.000 0.000 5.578
ATOMIC_POSITIONS angstrom
Rb 0.000 0.000 0.000
Na 0.000 2.910 2.789
Na 2.910 0.000 2.789
Ag 2.910 2.910 0.000
Hg 2.910 2.910 2.789
! E_tot ... -1.34 eV per atom
! N(E_F) ... 1.98 states/eV per cell
! SG ... P4/mmm (123)